(1)
Computed, not measured: crystalline Ac2CdNiAg at its relaxed geometry at the PBE level of DFT.

```
Ac2CdNiAg
1.0
8.1029 0.0000 0.0000
0.0000 4.4113 0.0000
-3.3795 0.0000 7.7389
Ac Cd Ni Ag
4 2 2 2
Cartesian
-0.4748 1.1028 1.6594 Ac
0.7474 3.3085 4.7497 Ac
3.9760 1.1028 2.9892 Ac
5.1983 3.3085 6.0795 Ac
-0.4265 1.1028 7.2501 Cd
5.1499 3.3085 0.4889 Cd
-1.3889 1.1028 4.5281 Ni
6.1123 3.3085 3.2108 Ni
2.0812 3.3085 1.3496 Ag
2.6422 1.1028 6.3893 Ag
```

Computed properties:
The calculation puts the total energy at -38.5 eV per cell. Its symmetry is P2_1/m. The energy of formation from the pure elements is -0.300 eV/atom.

---

(2)
Computed, not measured: crystalline CoPd2S4 at its relaxed geometry at the PBE level of DFT.

```
CoPd2S4
1.0
4.6476 0.0000 0.0000
0.0000 4.6476 0.0000
0.0000 0.0000 11.3836
Co Pd S
2 4 8
Cartesian
0.0000 0.0000 0.0000 Co
2.3238 2.3238 5.6918 Co
0.0000 0.0000 4.3623 Pd
0.0000 0.0000 7.0213 Pd
2.3238 2.3238 1.3295 Pd
2.3238 2.3238 10.0541 Pd
0.0000 0.0000 2.1299 S
0.0000 0.0000 9.2537 S
0.0000 2.3238 0.0000 S
0.0000 2.3238 5.6918 S
2.3238 0.0000 0.0000 S
2.3238 0.0000 5.6918 S
2.3238 2.3238 3.5619 S
2.3238 2.3238 7.8217 S
```

Computed properties:
The energy above the lowest structure with this stoichiometry is 4.16 eV per formula unit. The calculation puts the total energy at -64.1 eV per cell. Its symmetry is I4/mmm. For the uncorrected formation energy, the calculation gives 0.2762 eV per atom.

---

(3)
Computed, not measured: crystalline NdNiH8Rh2 at its relaxed geometry at the PBE level of DFT.

```
NdNiH8Rh2
1.0
2.3168 1.3376 5.4966
-2.3168 1.3376 5.4966
0.0000 -2.6752 5.4966
Nd Ni H Rh
1 1 8 2
Cartesian
0.0000 0.0000 0.0000 Nd
0.0000 0.0000 8.2449 Ni
-1.4667 0.1607 7.4438 H
-0.8726 -1.1898 9.0459 H
0.0000 0.0000 5.1208 H
0.5942 -1.3506 7.4438 H
-0.5942 1.3506 9.0459 H
0.0000 0.0000 11.3689 H
0.8726 1.1898 7.4438 H
1.4667 -0.1607 9.0459 H
0.0000 0.0000 3.4484 Rh
0.0000 0.0000 13.0413 Rh
```

Computed properties:
The calculation puts the total energy at -55.0 eV per cell. Its symmetry is R-3.

---

(4)
Computed, not measured: crystalline CaDy3Au4 at its relaxed geometry at the PBE level of DFT.

```
CaDy3Au4
1.0
2.5425 1.4679 8.3589
-2.5425 1.4679 8.3589
0.0000 -2.9359 8.3589
Ca Dy Au
1 3 4
Cartesian
0.0000 0.0000 0.0000 Ca
0.0000 0.0000 6.3130 Dy
0.0000 0.0000 12.5383 Dy
0.0000 0.0000 18.7636 Dy
0.0000 0.0000 3.2610 Au
0.0000 0.0000 9.4965 Au
0.0000 0.0000 15.5801 Au
0.0000 0.0000 21.8157 Au
```

Computed properties:
The calculation puts the total energy at -35.7 eV per cell. Its symmetry is R-3m. The energy of formation from the pure elements is -0.847 eV/atom.

---

(5)
Computed, not measured: crystalline As2RuWBr at its relaxed geometry at the PBE level of DFT.

```
As2RuWBr
1.0
4.7006 0.0000 0.0000
0.0000 4.7006 0.0000
0.0000 0.0000 5.1509
As Ru W Br
2 1 1 1
Cartesian
0.0000 2.3503 0.0000 As
2.3503 0.0000 0.0000 As
0.0000 0.0000 0.0000 Ru
2.3503 2.3503 2.5755 W
0.0000 0.0000 2.5755 Br
```

Computed properties:
The energy above the lowest structure with this stoichiometry is 0.48 eV per formula unit. The calculation puts the total energy at -26.5 eV per cell. Its symmetry is P4/mmm. For the uncorrected formation energy, the calculation gives 1.3474 eV per atom.

---

(6)
Computed, not measured: crystalline YTeN2Cl at its relaxed geometry at the PBE level of DFT.

```
YTeN2Cl
1.0
4.2839 0.0000 0.0000
0.0000 4.2839 0.0000
0.0000 0.0000 5.1229
Y Te N Cl
1 1 2 1
Cartesian
0.0000 0.0000 0.0000 Y
2.1419 2.1419 0.0000 Te
0.0000 2.1419 2.5615 N
2.1419 0.0000 2.5615 N
2.1419 2.1419 2.5615 Cl
```

Computed properties:
The energy above the lowest structure with this stoichiometry is 2.77 eV per formula unit. The calculation puts the total energy at -21.5 eV per cell. Its symmetry is P4/mmm. For the uncorrected formation energy, the calculation gives 1.3210 eV per atom.

---

(7)
Computed, not measured: crystalline Tb2PmErS4 at its relaxed geometry at the PBE level of DFT.

```
Tb2PmErS4
1.0
6.8166 0.0000 0.0000
0.0000 3.8998 0.0000
-2.2385 0.0000 6.5040
Tb Pm Er S
2 1 1 4
Cartesian
0.0000 0.0000 0.0000 Tb
-1.1192 1.9499 3.2520 Tb
2.2891 0.0000 3.2520 Pm
3.4083 1.9499 0.0000 Er
1.1342 1.9499 1.5675 S
0.0164 0.0000 4.9285 S
4.5617 0.0000 1.5755 S
3.4439 1.9499 4.9366 S
```

Computed properties:
The calculation puts the total energy at -51.0 eV per cell. Its symmetry is P2/m. For the uncorrected formation energy, the calculation gives -1.9954 eV per atom.

---

(8)
Computed, not measured: crystalline LiZrMn at its relaxed geometry at the PBE level of DFT.

```
LiZrMn
1.0
4.5319 0.0000 0.0000
-2.2660 3.9247 0.0000
0.0000 0.0000 2.8831
Li Zr Mn
1 1 1
Cartesian
0.0000 0.0000 0.0000 Li
0.0000 2.6165 1.4585 Zr
2.2660 1.3082 0.0234 Mn
```

Computed properties:
The energy above the lowest structure with this stoichiometry is 0.16 eV per formula unit. The calculation puts the total energy at -18.7 eV per cell. Its symmetry is P3m1. The energy of formation from the pure elements is 0.310 eV/atom.

---

(9)
Computed, not measured: crystalline FeSiHgBiPt at its relaxed geometry at the PBE level of DFT.

```
FeSiHgBiPt
1.0
6.5403 0.0000 0.0000
0.0000 3.7555 0.0000
-2.1631 0.0000 8.4144
Fe Si Hg Bi Pt
2 2 2 2 2
Cartesian
0.0000 0.0000 0.0000 Fe
3.2701 1.8778 0.0000 Fe
2.1758 0.0000 0.6329 Si
5.4460 1.8778 0.6329 Si
2.1890 0.0000 3.7106 Hg
5.4592 1.8778 3.7106 Hg
-1.0695 1.8778 6.6996 Bi
2.2007 0.0000 6.6996 Bi
1.0838 1.8778 1.7591 Pt
4.3540 0.0000 1.7591 Pt
```

Computed properties:
The energy above the lowest structure with this stoichiometry is 0.12 eV per formula unit. The calculation puts the total energy at -48.6 eV per cell. Its symmetry is Cm. For the uncorrected formation energy, the calculation gives -0.0348 eV per atom.

---

(10)
Computed, not measured: crystalline Mn2GeN at its relaxed geometry at the PBE level of DFT.

```
Mn2GeN
1.0
5.6572 0.0000 0.0000
0.0000 5.6572 0.0000
0.0000 0.0000 5.6572
Mn Ge N
8 4 4
Cartesian
1.4143 1.4143 1.4143 Mn
1.4143 1.4143 4.2429 Mn
1.4143 4.2429 1.4143 Mn
1.4143 4.2429 4.2429 Mn
4.2429 1.4143 1.4143 Mn
4.2429 1.4143 4.2429 Mn
4.2429 4.2429 1.4143 Mn
4.2429 4.2429 4.2429 Mn
0.0000 0.0000 0.0000 Ge
0.0000 2.8286 2.8286 Ge
2.8286 0.0000 2.8286 Ge
2.8286 2.8286 0.0000 Ge
0.0000 0.0000 2.8286 N
0.0000 2.8286 0.0000 N
2.8286 0.0000 0.0000 N
2.8286 2.8286 2.8286 N
```

Computed properties:
The calculation puts the total energy at -112.9 eV per cell. Its symmetry is Fm-3m. For the uncorrected formation energy, the calculation gives 0.7621 eV per atom.

---

(11)
Computed, not measured: crystalline Na3ZnW at its relaxed geometry at the PBE level of DFT.

```
Na3ZnW
1.0
5.4047 0.0000 0.0000
0.0000 5.4047 0.0000
0.0000 0.0000 5.4047
Na Zn W
3 1 1
Cartesian
0.0000 0.0000 2.7023 Na
0.0000 2.7023 0.0000 Na
2.7023 0.0000 0.0000 Na
0.0000 0.0000 0.0000 Zn
2.7023 2.7023 2.7023 W
```

Computed properties:
The energy above the lowest structure with this stoichiometry is 0.00 eV per formula unit. The calculation puts the total energy at -11.0 eV per cell. Its symmetry is Pm-3m. The energy of formation from the pure elements is 1.442 eV/atom.

---

(12)
Computed, not measured: crystalline La4InAu at its relaxed geometry at the PBE level of DFT.

```
La4InAu
1.0
5.8302 0.0000 0.0000
0.0000 10.4630 0.0000
-0.9323 0.0000 5.8030
La In Au
8 2 2
Cartesian
0.0003 1.7219 0.0119 La
-0.4659 3.5096 2.9134 La
5.3637 6.9533 2.8896 La
4.8976 8.7411 5.7911 La
1.9792 6.8342 5.7988 La
2.4453 8.8602 2.8973 La
2.4525 1.6027 2.9057 La
2.9187 3.6287 0.0042 La
2.9151 0.0000 0.0000 In
2.4489 5.2315 2.9015 In
-0.4662 0.0000 2.9015 Au
0.0000 5.2315 0.0000 Au
```

Computed properties:
The energy above the lowest structure with this stoichiometry is 0.43 eV per formula unit. The calculation puts the total energy at -55.9 eV per cell. Its symmetry is P2_1/c. The energy of formation from the pure elements is -0.369 eV/atom.

---

What calculated density values result from the calculations? In sequence: 8.800; 5.403; 6.772; 11.669; 7.509; 4.945; 7.283; 4.958; 11.065; 7.210; 3.347; 8.138 g/cm3.